*i*
# NdDy3Ag2 | the Alexandria database | PBE-GGA | optimized geometry
data_NdDy3Ag2
_chemical_formula_sum 'Nd1 Dy3 Ag2'
_cell_length_a 3.637
_cell_length_b 3.637
_cell_length_c 12.364
_cell_angle_alpha 90.00
_cell_angle_beta 90.00
_cell_angle_gamma 90.00
_space_group_name_H-M_alt 'P 4/m m m'
_space_group_IT_number 123
_space_group_name_Hall '-P 4 2'
loop_
_atom_site_label
_atom_site_fract_x
_atom_site_fract_y
_atom_site_fract_z
Nd1 0.000 0.000 0.000
Dy1 0.500 0.500 0.207
Dy2 0.500 0.500 0.500
Ag1 0.000 0.000 0.352
# - Volume: 163.6 Å³ per cell
# - ρ: 8604 kg/m3
# - D(E_F): 1.097 states/eV/atom

=====

*ii*
# NdDy3Ag2 | the Alexandria database | PBE-GGA | optimized geometry
data_NdDy3Ag2
_chemical_formula_sum 'Nd4 Dy12 Ag8'
_cell_length_a 15.714
_cell_length_b 5.336
_cell_length_c 8.778
_cell_angle_alpha 90.00
_cell_angle_beta 115.81
_cell_angle_gamma 90.00
_space_group_name_H-M_alt 'C 1 2/m 1'
_space_group_IT_number 12
loop_
_space_group_symop_operation_xyz
'x,y,z'
'-x,-y,-z'
'-x,y,-z'
'x,-y,z'
'x+1/2,y+1/2,z'
'-x+1/2,-y+1/2,-z'
'-x+1/2,y+1/2,-z'
'x+1/2,-y+1/2,z'
loop_
_atom_site_label
_atom_site_fract_x
_atom_site_fract_y
_atom_site_fract_z
Nd1 0.137 0.000 0.193
Dy1 0.061 0.000 0.726
Dy2 0.119 0.500 0.528
Dy3 0.191 0.500 0.996
Ag1 0.014 0.500 0.167
Ag2 0.228 0.000 0.610
# - Volume: 662.6 Å³ per cell
# - ρ: 8495 kg/m3
# - D(E_F): 1.106 states/eV/atom

=====

We find *i* to be the most stable, with the next structure 73 meV per atom higher.